1:
Entry from Alexandria: a relaxed structure of Sr2GdHg (PBE-GGA).

The space group is R-3m (166).

The structure in POSCAR format:
```
Sr2GdHg
1.0
1.9414 1.1208 12.2399
-1.9414 1.1208 12.2399
0.0000 -2.2417 12.2399
Sr Gd Hg
2 1 1
Cartesian
0.0000 0.0000 3.6372
0.0000 0.0000 33.0824
0.0000 0.0000 0.0000
0.0000 0.0000 18.3598
```

=====

2:
Entry from Alexandria: a relaxed structure of Sr2GdHg (PBE-GGA).

The space group is P4/mmm (123).

The structure in POSCAR format:
```
Sr2GdHg
1.0
3.9251 0.0000 0.0000
0.0000 3.9251 0.0000
0.0000 0.0000 9.6843
Sr Gd Hg
2 1 1
Cartesian
0.0000 0.0000 2.0096
0.0000 0.0000 7.6748
1.9625 1.9625 4.8422
1.9625 1.9625 0.0000
```

=====

Top of the stability list: 2, leading by 22.9 kJ/mol of atoms.

=====

1:
Entry from Alexandria: a relaxed structure of TbGd2Hg (PBE-GGA).

The space group is P4/mmm (123).

The structure in POSCAR format:
```
TbGd2Hg
1.0
3.6251 0.0000 0.0000
0.0000 3.6251 0.0000
0.0000 0.0000 8.9989
Tb Gd Hg
1 2 1
Cartesian
0.0000 0.0000 0.0000
1.8125 1.8125 2.4870
1.8125 1.8125 6.5119
0.0000 0.0000 4.4995
```

=====

2:
Entry from Alexandria: a relaxed structure of TbGd2Hg (PBE-GGA).

The space group is Fm-3m (225).

The structure in POSCAR format:
```
TbGd2Hg
1.0
0.0000 3.8468 3.8468
3.8468 0.0000 3.8468
3.8468 3.8468 0.0000
Tb Gd Hg
1 2 1
Cartesian
0.0000 0.0000 0.0000
1.9234 1.9234 1.9234
5.7702 5.7702 5.7702
3.8468 3.8468 3.8468
```

=====

Top of the stability list: 1, leading by 14.8 kJ/mol of atoms.

=====

1:
Entry from Alexandria: a relaxed structure of TbGd2Hg (PBE-GGA).

The space group is R-3m (166).

The structure in POSCAR format:
```
TbGd2Hg
1.0
1.7618 1.0172 12.0011
-1.7618 1.0172 12.0011
0.0000 -2.0343 12.0011
Tb Gd Hg
1 2 1
Cartesian
0.0000 0.0000 0.0000
0.0000 0.0000 14.8322
0.0000 0.0000 21.1711
0.0000 0.0000 18.0016
```

=====

2:
Entry from Alexandria: a relaxed structure of TbGd2Hg (PBE-GGA).

The space group is P4/mmm (123).

The structure in POSCAR format:
```
TbGd2Hg
1.0
4.8137 0.0000 0.0000
0.0000 4.8137 0.0000
0.0000 0.0000 4.8867
Tb Gd Hg
1 2 1
Cartesian
0.0000 0.0000 0.0000
0.0000 2.4068 2.4434
2.4068 0.0000 2.4434
2.4068 2.4068 0.0000
```

=====

Top of the stability list: 2, leading by 27.1 kJ/mol of atoms.

=====

1:
Entry from Alexandria: a relaxed structure of Gd2HgTe (PBE-GGA).

The space group is R-3m (166).

The structure in POSCAR format:
```
Gd2HgTe
1.0
2.1036 1.2145 7.8127
-2.1036 1.2145 7.8127
0.0000 -2.4290 7.8127
Gd Hg Te
2 1 1
Cartesian
0.0000 0.0000 5.8588
0.0000 0.0000 17.5793
0.0000 0.0000 0.0000
0.0000 0.0000 11.7191
```

=====

2:
Entry from Alexandria: a relaxed structure of Gd2HgTe (PBE-GGA).

The space group is P4/mmm (123).

The structure in POSCAR format:
```
Gd2HgTe
1.0
3.8591 0.0000 0.0000
0.0000 3.8591 0.0000
0.0000 0.0000 7.3157
Gd Hg Te
2 1 1
Cartesian
0.0000 0.0000 1.8240
0.0000 0.0000 5.4917
1.9295 1.9295 3.6579
1.9295 1.9295 0.0000
```

=====

Top of the stability list: 1, leading by 4.7 kJ/mol of atoms.